1.
Compound: Tb2HoEr12
Source: the Alexandria database
Functional: PBE
Structure: relaxed

The value obtained for the volume is 928 Å³/cell. For the mass density, the calculation gives 8.91 g/cm3. The value obtained for the energy relative to the elements is 9.2 kJ/mol of atoms. Its space-group type is C2/m (12).

a = 6.6223 Å, b = 6.6223 Å, c = 25.4543 Å
α = 78.10°, β = 101.90°, γ = 64.34°
Closest atoms and distances in Å follow each position.
Positions (direct):
Tb (0.3311, 0.1689, 0.2852)  9 Er 3.41-3.80, 2 Tb 3.43-3.62
Tb (0.8206, 0.6794, 0.2873)  9 Er 3.40-3.75, 2 Tb 3.43-3.62
Tb (0.1689, 0.3311, 0.7148)  9 Er 3.41-3.80, 2 Tb 3.43-3.62
Tb (0.6794, 0.8206, 0.7127)  9 Er 3.40-3.75, 2 Tb 3.43-3.62
Ho (0.5248, 0.9752, 0.0209)  8 Er 3.35-3.69, 2 Ho 3.60-3.72
Ho (0.9752, 0.5248, 0.9791)  8 Er 3.35-3.69, 2 Ho 3.60-3.72
Er (0.5520, 0.4602, 0.8001)  8 Er 3.23-3.61, 2 Tb 3.42-3.50
Er (0.0398, 0.9480, 0.8001)  8 Er 3.23-3.61, 2 Tb 3.42-3.50
Er (0.6085, 0.8915, 0.8439)  8 Er 3.41-3.62, 1 Ho 3.41, 2 Tb 3.54-3.56
Er (0.3331, 0.7270, 0.9351)  5 Er 3.23-3.59, 2 Ho 3.35-3.45
Er (0.8850, 0.1266, 0.3244)  7 Er 3.30-3.65, 4 Tb 3.40-3.47
Er (0.1669, 0.7730, 0.0649)  5 Er 3.23-3.59, 2 Ho 3.35-3.45
Er (0.7070, 0.2968, 0.5565)  10 Er 3.18-3.53
Er (0.3734, 0.6150, 0.3244)  7 Er 3.30-3.65, 4 Tb 3.40-3.47
Er (0.1445, 0.3555, 0.8630)  10 Er 3.49-3.82, 2 Ho 3.59-3.87, 1 Tb 3.84
Er (0.8915, 0.6085, 0.1561)  8 Er 3.41-3.62, 1 Ho 3.41, 2 Tb 3.54-3.56
Er (0.2299, 0.2701, 0.5728)  8 Er 3.32-3.65
Er (0.7930, 0.2032, 0.4435)  10 Er 3.18-3.53
Er (0.1266, 0.8850, 0.6756)  7 Er 3.30-3.65, 4 Tb 3.40-3.47
Er (0.2701, 0.2299, 0.4272)  8 Er 3.32-3.65
Er (0.3555, 0.1445, 0.1370)  10 Er 3.49-3.82, 2 Ho 3.59-3.87, 1 Tb 3.84
Er (0.7749, 0.7251, 0.4291)  6 Er 3.31-3.54
Er (0.7251, 0.7749, 0.5709)  6 Er 3.31-3.54
Er (0.9480, 0.0398, 0.1999)  8 Er 3.23-3.61, 2 Tb 3.42-3.50
Er (0.2032, 0.7930, 0.5565)  10 Er 3.18-3.53
Er (0.6150, 0.3734, 0.6756)  7 Er 3.30-3.65, 4 Tb 3.40-3.47
Er (0.7730, 0.1669, 0.9351)  5 Er 3.23-3.59, 2 Ho 3.35-3.45
Er (0.4602, 0.5520, 0.1999)  8 Er 3.23-3.61, 2 Tb 3.42-3.50
Er (0.2968, 0.7070, 0.4435)  10 Er 3.18-3.53
Er (0.7270, 0.3331, 0.0649)  5 Er 3.23-3.59, 2 Ho 3.35-3.45

---

2.
Compound: AcCe2Cl8
Source: the Alexandria database
Functional: PBE
Structure: relaxed

For the energy relative to the elements, uncorrected, the calculation gives -49.7 kcal/mol of atoms. The value obtained for the volume is 292 Å³/cell. For the mass density, the calculation gives 4.50 g/cm3. Its space-group type is C2/m (12).

a = 5.4656 Å, b = 7.7008 Å, c = 7.7008 Å
α = 111.12°, β = 98.54°, γ = 98.54°
Closest atoms and distances in Å follow each position.
Positions (direct):
Ac (0.5000, 0.0000, 0.0000)  4 Cl 2.97-3.01
Ce (0.0000, 0.3213, 0.6787)  8 Cl 2.93-2.97
Ce (0.0000, 0.6787, 0.3213)  8 Cl 2.93-2.97
Cl (0.9202, 0.9384, 0.6840)  2 Ce 2.93, 2 Cl 3.17-3.23
Cl (0.9202, 0.6840, 0.9384)  2 Ce 2.93, 2 Cl 3.17-3.23
Cl (0.3327, 0.6422, 0.6422)  2 Ce 2.97, 1 Ac 3.01
Cl (0.5000, 0.7661, 0.2339)  2 Ce 2.95, 1 Ac 2.97
Cl (0.5000, 0.2339, 0.7661)  2 Ce 2.95, 1 Ac 2.97
Cl (0.6673, 0.3578, 0.3578)  2 Ce 2.97, 1 Ac 3.01
Cl (0.0798, 0.3160, 0.0616)  2 Ce 2.93, 2 Cl 3.17-3.23
Cl (0.0798, 0.0616, 0.3160)  2 Ce 2.93, 2 Cl 3.17-3.23

---

3.
Compound: Ca2DyMoN4
Source: the Alexandria database
Functional: PBE
Structure: relaxed

For the energy relative to the elements, uncorrected, the calculation gives -23.7 kcal/mol of atoms. The value obtained for the volume is 259 Å³/cell. For the mass density, the calculation gives 5.07 g/cm3. Its space-group type is Pmn2_1 (31).

a = 4.9769 Å, b = 6.8266 Å, c = 7.6091 Å
α = 90.00°, β = 90.00°, γ = 90.00°
Closest atoms and distances in Å follow each position.
Positions (direct):
Ca (0.4420, 0.3386, 0.2554)  4 N 2.26-2.49
Ca (0.4420, 0.3386, 0.7446)  4 N 2.26-2.49
Ca (0.9420, 0.6614, 0.7554)  4 N 2.26-2.49
Ca (0.9420, 0.6614, 0.2446)  4 N 2.26-2.49
Dy (0.9404, 0.1392, 0.5000)  3 N 2.20-2.35
Dy (0.4404, 0.8608, 0.0000)  3 N 2.20-2.35
Mo (0.4865, 0.8285, 0.5000)  4 N 1.92-1.98
Mo (0.9865, 0.1715, 0.0000)  4 N 1.92-1.98
N (0.3722, 0.1789, 0.0000)  1 Mo 1.92
N (0.8722, 0.8211, 0.5000)  1 Mo 1.92
N (0.4439, 0.1165, 0.5000)  1 Mo 1.98
N (0.9439, 0.8835, 0.0000)  1 Mo 1.98
N (0.4366, 0.7023, 0.7254)  1 Mo 1.94
N (0.9366, 0.2977, 0.2254)  1 Mo 1.94
N (0.9366, 0.2977, 0.7746)  1 Mo 1.94
N (0.4366, 0.7023, 0.2746)  1 Mo 1.94